No. 1
This record from Alexandria via LeMat-Bulk describes crystalline Dy4Y9Hg11 at its relaxed geometry. The functional is PBE.

Values from the calculation:
Formation energy ... -0.3908 eV/atom

The structure in extended XYZ format:
```
24
Lattice="3.5629 0.0000 0.0000 0.0000 12.7743 -5.0316 0.0000 0.3933 13.7239" Properties=species:S:1:pos:R:3 pbc="T T T"
Dy 1.7814 7.6342 7.3703
Dy 1.7814 5.5334 1.3220
Dy 1.7814 9.7775 4.1236
Dy 1.7814 3.3901 4.5687
Y 1.7814 7.9993 -1.1036
Y 1.7814 5.1683 9.7959
Y 1.7814 2.1288 7.7894
Y 1.7814 11.0388 0.9029
Y 1.7814 10.5502 9.3732
Y 1.7814 2.6174 -0.6809
Y 1.7814 12.7651 6.0179
Y 1.7814 0.4025 2.6744
Y 1.7814 6.5838 4.3461
Hg 0.0000 7.8778 9.9956
Hg 0.0000 5.2898 -1.3034
Hg 0.0000 12.2873 3.3158
Hg 0.0000 0.8803 5.3764
Hg 3.5629 8.1881 1.9159
Hg 3.5629 4.9795 6.7764
Hg 0.0000 10.5831 -1.7123
Hg 0.0000 2.5845 10.4045
Hg 0.0000 0.0000 0.0000
Hg 0.0000 10.1872 6.7248
Hg 0.0000 2.9804 1.9675
```

***

No. 2
This record from Alexandria via LeMat-Bulk describes crystalline DyY4Hg5 at its relaxed geometry. The functional is PBE.

Values from the calculation:
Formation energy ... -0.5057 eV/atom

The structure in extended XYZ format:
```
10
Lattice="3.7263 0.0000 0.0000 0.0000 3.7263 0.0000 0.0000 0.0000 18.6500" Properties=species:S:1:pos:R:3 pbc="T T T"
Dy 0.0000 0.0000 0.0000
Y 0.0000 0.0000 3.7235
Y 0.0000 0.0000 7.4579
Y 0.0000 0.0000 11.1921
Y 0.0000 0.0000 14.9265
Hg 1.8631 1.8631 1.8508
Hg 1.8631 1.8631 5.5924
Hg 1.8631 1.8631 9.3250
Hg 1.8631 1.8631 13.0576
Hg 1.8631 1.8631 16.7992
```

***

No. 3
This record from Alexandria via LeMat-Bulk describes crystalline Dy2Y2Hg3 at its relaxed geometry. The functional is PBE.

Values from the calculation:
Formation energy ... -0.3305 eV/atom

The structure in extended XYZ format:
```
7
Lattice="5.0020 -0.0101 -1.3902 -2.7042 4.4422 -0.0018 -0.1821 -0.1083 8.9637" Properties=species:S:1:pos:R:3 pbc="T T T"
Dy 2.7425 1.6613 0.1647
Dy -0.6267 2.6625 7.4071
Y 0.8622 0.5217 3.0635
Y 1.2535 3.8022 4.5083
Hg 0.0000 0.0000 0.0000
Hg 1.6764 1.0156 5.9889
Hg 0.4393 3.3082 1.5829
```

***

No. 4
This record from Alexandria via LeMat-Bulk describes crystalline DyY2Hg8 at its relaxed geometry. The functional is PBE.

Values from the calculation:
Formation energy ... -0.3098 eV/atom

The structure in extended XYZ format:
```
11
Lattice="-3.4845 2.9953 2.1502 -3.3397 -5.9696 2.9036 7.5662 2.0550 3.4138" Properties=species:S:1:pos:R:3 pbc="T T T"
Dy -1.7422 1.4977 1.0751
Y -0.0518 -2.7643 3.7667
Y 0.7939 1.8450 4.7010
Hg -2.9168 -2.5850 4.8590
Hg 2.2448 -0.8594 4.8350
Hg 1.3067 0.1788 1.8684
Hg -0.9727 -1.7392 0.8465
Hg -0.5647 -1.0981 6.5992
Hg -1.5028 -0.0598 3.6326
Hg 3.6588 1.6658 3.6087
Hg 1.7147 0.8200 7.6212
```

***

No. 5
This record from Alexandria via LeMat-Bulk describes crystalline DyY2Hg5 at its relaxed geometry. The functional is PBE.

Values from the calculation:
Formation energy ... -0.4320 eV/atom

The structure in extended XYZ format:
```
8
Lattice="-3.1145 -0.8857 4.0771 3.9955 -2.0981 2.5963 1.2442 8.0579 -0.6234" Properties=species:S:1:pos:R:3 pbc="T T T"
Dy 0.0000 0.0000 0.0000
Y 1.2344 1.6021 4.6153
Y 0.8908 3.4720 1.4347
Hg 0.4405 -1.4919 3.3367
Hg -0.2895 4.4981 4.0803
Hg 3.2655 3.8919 3.3399
Hg 2.4147 0.5760 1.9697
Hg -1.1403 1.1822 2.7101
```

***

No. 6
This record from Alexandria via LeMat-Bulk describes crystalline DyY4Hg2 at its relaxed geometry. The functional is PBE.

Values from the calculation:
Formation energy ... 0.0080 eV/atom

The structure in extended XYZ format:
```
7
Lattice="5.0924 0.0000 0.0000 2.5462 4.4101 0.0000 2.5462 1.4700 10.0327" Properties=species:S:1:pos:R:3 pbc="T T T"
Dy 5.0924 2.9401 5.0163
Y 7.6385 4.4101 8.9112
Y 7.6385 4.4101 3.2485
Y 2.5462 1.4700 1.1215
Y 2.5462 1.4700 6.7842
Hg 5.0924 2.9401 1.9845
Hg 5.0924 2.9401 8.0482
```

***

No. 7
This record from Alexandria via LeMat-Bulk describes crystalline DyY2Hg at its relaxed geometry. The functional is PBE.

Values from the calculation:
Formation energy ... -0.1626 eV/atom
Relative energy among the computed polymorphs ... 0.072 eV/atom

The structure in extended XYZ format:
```
4
Lattice="-4.4988 1.5168 0.6856 0.6512 -0.2289 4.7793 1.5439 4.5754 0.0088" Properties=species:S:1:pos:R:3 pbc="T T T"
Y 0.7720 2.2877 0.0044
Y 0.3256 -0.1144 2.3896
Hg -2.2494 0.7584 0.3428
Dy -1.1518 2.9316 2.7368
```

***

No. 8
This record from Alexandria via LeMat-Bulk describes crystalline DyYHg6 at its relaxed geometry. The functional is PBE.

Values from the calculation:
Formation energy ... -0.3230 eV/atom
Relative energy among the computed polymorphs ... 0.027 eV/atom

The structure in extended XYZ format:
```
8
Lattice="-0.7388 -3.6373 -2.5681 3.2940 1.3051 -2.7960 6.3867 -4.9713 5.2038" Properties=species:S:1:pos:R:3 pbc="T T T"
Dy 0.0000 0.0000 0.0000
Y 3.1933 -2.4857 2.6019
Hg 1.2776 -1.1661 -2.6820
Hg 4.4709 -3.6518 -0.0801
Hg 1.2225 -3.0578 0.0130
Hg 4.4253 -5.5508 2.6227
Hg 3.2389 -0.5866 -0.1009
Hg 6.4417 -3.0797 2.5087
```

***

No. 9
This record from Alexandria via LeMat-Bulk describes crystalline Dy3YHg5 at its relaxed geometry. The functional is PBE.

Values from the calculation:
Formation energy ... -0.4086 eV/atom

The structure in extended XYZ format:
```
18
Lattice="-2.2597 5.3722 -2.8715 -7.7286 -0.7089 4.7556 6.9984 4.7451 3.3702" Properties=species:S:1:pos:R:3 pbc="T T T"
Dy -1.9645 5.5209 0.8495
Dy -5.0114 6.3115 4.7264
Dy -6.5669 3.5822 0.8443
Dy -1.0254 3.8874 4.4047
Dy 2.0215 3.0968 0.5278
Dy -3.4214 1.0810 1.0398
Y 0.0000 0.0000 0.0000
Y -1.1298 2.6861 -1.4357
Hg -2.8196 1.1090 4.2937
Hg 0.9595 5.6132 2.3962
Hg 2.0894 2.9271 3.8320
Hg -3.9495 3.7951 2.8580
Hg -2.2069 6.8604 3.5464
Hg -7.3341 4.7366 3.6079
Hg -4.0018 3.8175 -0.7341
Hg -0.7831 2.5478 1.7078
Hg 4.3442 4.6716 1.6464
Hg -5.9865 0.8457 2.6181
```

***

No. 10
This record from Alexandria via LeMat-Bulk describes crystalline Dy5YHg4 at its relaxed geometry. The functional is PBE.

Values from the calculation:
Formation energy ... -0.3715 eV/atom

The structure in extended XYZ format:
```
10
Lattice="3.6833 0.0000 0.0000 0.0000 3.6833 0.0000 0.0000 0.0000 20.0622" Properties=species:S:1:pos:R:3 pbc="T T T"
Dy 1.8417 1.8417 2.4706
Dy 1.8417 1.8417 6.2609
Dy 1.8417 1.8417 10.0311
Dy 1.8417 1.8417 13.8014
Dy 1.8417 1.8417 17.5916
Y 0.0000 0.0000 0.0000
Hg 0.0000 0.0000 4.3230
Hg 0.0000 0.0000 8.1330
Hg 0.0000 0.0000 11.9292
Hg 0.0000 0.0000 15.7392
```

***

No. 11
This record from Alexandria via LeMat-Bulk describes crystalline DyY2Hg6 at its relaxed geometry. The functional is PBE.

Values from the calculation:
Formation energy ... -0.4056 eV/atom

The structure in extended XYZ format:
```
18
Lattice="-0.4445 -0.2039 5.4088 9.0500 -0.5177 1.9784 2.0499 8.8766 1.7572" Properties=species:S:1:pos:R:3 pbc="T T T"
Dy 2.8166 7.6476 3.1372
Dy 7.8388 0.5074 6.0073
Y 6.3403 6.6643 4.7150
Y 2.7855 3.9438 1.6697
Y 4.3152 1.4907 4.4294
Y 7.8699 4.2112 7.4748
Hg 6.8351 3.3668 4.6485
Hg 5.8010 2.5304 1.8472
Hg 3.8203 4.7882 4.4960
Hg 4.8544 5.6247 7.2973
Hg 1.2977 2.8996 4.2500
Hg 7.3800 7.5093 7.5434
Hg 9.3577 5.2555 4.8945
Hg 3.2754 0.6457 1.6011
Hg 6.8093 -0.3327 3.1807
Hg 9.3190 1.5431 3.4253
Hg 3.8461 8.4878 5.9638
Hg 1.3364 6.6119 5.7192
```

***

No. 12
This record from Alexandria via LeMat-Bulk describes crystalline Dy4YHg5 at its relaxed geometry. The functional is PBE.

Values from the calculation:
Formation energy ... -0.4876 eV/atom

The structure in extended XYZ format:
```
10
Lattice="3.7209 0.0000 0.0000 0.0000 3.7209 0.0000 0.0000 0.0000 18.6414" Properties=species:S:1:pos:R:3 pbc="T T T"
Dy 0.0000 0.0000 3.7333
Dy 0.0000 0.0000 7.4581
Dy 0.0000 0.0000 11.1833
Dy 0.0000 0.0000 14.9081
Y 0.0000 0.0000 0.0000
Hg 1.8604 1.8604 1.8768
Hg 1.8604 1.8604 5.5933
Hg 1.8604 1.8604 9.3207
Hg 1.8604 1.8604 13.0481
Hg 1.8604 1.8604 16.7646
```

***

No. 13
This record from Alexandria via LeMat-Bulk describes crystalline Dy2YHg5 at its relaxed geometry. The functional is PBE.

Values from the calculation:
Formation energy ... -0.4257 eV/atom

The structure in extended XYZ format:
```
8
Lattice="5.2023 0.0000 0.0000 0.0000 5.2023 0.0000 -2.6011 -2.6011 7.3166" Properties=species:S:1:pos:R:3 pbc="T T T"
Dy 2.6011 2.6011 3.4419
Dy 0.0000 0.0000 3.8747
Y 0.0000 0.0000 0.0000
Hg 2.6011 2.6011 0.0000
Hg 2.6011 0.0000 5.4876
Hg 0.0000 2.6011 5.4876
Hg 0.0000 2.6011 1.8290
Hg 2.6011 0.0000 1.8290
```

***

No. 14
This record from Alexandria via LeMat-Bulk describes crystalline DyY2Hg at its relaxed geometry. The functional is PBE.

Values from the calculation:
Formation energy ... -0.2351 eV/atom
Relative energy among the computed polymorphs ... 0.000 eV/atom

The structure in extended XYZ format:
```
4
Lattice="-2.6825 -2.4145 0.0583 0.8460 -0.8578 3.4025 -5.5977 6.2908 2.9778" Properties=species:S:1:pos:R:3 pbc="T T T"
Y -4.3531 4.8921 2.3157
Y -1.2446 1.3987 0.6621
Hg -0.9182 -1.6361 1.7304
Dy -3.7171 1.5093 3.2193
```

***

No. 15
This record from Alexandria via LeMat-Bulk describes crystalline DyY2Hg at its relaxed geometry. The functional is PBE.

Values from the calculation:
Formation energy ... -0.2263 eV/atom
Relative energy among the computed polymorphs ... 0.009 eV/atom

The structure in extended XYZ format:
```
16
Lattice="-0.7858 -4.5904 4.8911 6.6361 -2.0440 -0.8521 2.9671 6.7812 6.8411" Properties=species:S:1:pos:R:3 pbc="T T T"
Dy 3.5551 -2.1287 4.2807
Dy 6.6563 -4.4175 5.2044
Dy 5.2622 2.2756 6.5994
Dy 2.1611 4.5644 5.6756
Y 4.5999 -1.9968 0.6312
Y 2.4117 1.2685 4.4746
Y 2.9924 -0.6561 7.4244
Y 7.6307 1.6781 9.2299
Y 4.2174 2.1436 10.2488
Y 6.4057 -1.1216 6.4055
Y 5.8249 0.8029 3.4556
Y 1.1867 -1.5312 1.6501
Hg 3.4279 0.6355 1.5958
Hg 6.4286 -2.2400 3.1447
Hg 5.3895 -0.4886 9.2842
Hg 2.3888 2.3869 7.7354
```

***

No. 16
This record from Alexandria via LeMat-Bulk describes crystalline DyY3Hg at its relaxed geometry. The functional is PBE.

Values from the calculation:
Formation energy ... -0.0254 eV/atom

The structure in extended XYZ format:
```
10
Lattice="-5.8961 2.2271 -3.3642 -6.3814 -2.6132 1.8682 -4.8594 5.2503 4.4062" Properties=species:S:1:pos:R:3 pbc="T T T"
Dy -4.6542 3.8109 3.0937
Dy -12.4827 1.0532 -0.1835
Y -9.5790 0.1931 1.7440
Y -9.3349 2.6283 -0.8883
Y -6.3685 1.5079 0.8041
Y -10.7683 3.3563 2.1060
Y -7.8021 2.2359 3.7985
Y -7.5579 4.6710 1.1662
Hg -8.9503 5.1104 3.8974
Hg -8.1866 -0.2463 -0.9872
```

***

No. 17
This record from Alexandria via LeMat-Bulk describes crystalline DyY3Hg12 at its relaxed geometry. The functional is PBE.

Values from the calculation:
Formation energy ... -0.3278 eV/atom

The structure in extended XYZ format:
```
16
Lattice="4.5204 0.0000 0.0000 0.0000 4.5204 0.0000 0.0000 0.0000 19.2167" Properties=species:S:1:pos:R:3 pbc="T T T"
Dy 0.0000 0.0000 0.0000
Y 0.0000 0.0000 4.8028
Y 0.0000 0.0000 9.6084
Y 0.0000 0.0000 14.4139
Hg 2.2602 2.2602 0.0000
Hg 2.2602 2.2602 4.7985
Hg 2.2602 2.2602 9.6084
Hg 2.2602 2.2602 14.4182
Hg 2.2602 0.0000 2.3927
Hg 2.2602 0.0000 7.2039
Hg 2.2602 0.0000 12.0128
Hg 2.2602 0.0000 16.8240
Hg 0.0000 2.2602 2.3927
Hg 0.0000 2.2602 7.2039
Hg 0.0000 2.2602 12.0128
Hg 0.0000 2.2602 16.8240
```

***

No. 18
This record from Alexandria via LeMat-Bulk describes crystalline Dy2YHg8 at its relaxed geometry. The functional is PBE.

Values from the calculation:
Formation energy ... -0.3063 eV/atom

The structure in extended XYZ format:
```
11
Lattice="4.8570 0.0000 -1.4782 -1.1024 6.3778 -3.6222 -0.0576 0.5215 8.5293" Properties=species:S:1:pos:R:3 pbc="T T T"
Dy 0.1555 4.6299 0.5110
Dy 3.5415 2.2694 2.9179
Y 2.4285 0.0000 -0.7391
Hg 2.1764 5.6232 -1.5675
Hg 1.0543 3.9742 3.4642
Hg 0.5714 1.1651 1.8776
Hg -0.3222 1.8644 -1.0587
Hg 3.1256 5.7342 1.5513
Hg 2.6427 2.9251 -0.0353
Hg 1.5206 1.2761 4.9964
Hg 4.0192 5.0350 4.4877
```

***

No. 19
This record from Alexandria via LeMat-Bulk describes crystalline Dy9Y4Hg11 at its relaxed geometry. The functional is PBE.

Values from the calculation:
Formation energy ... -0.3795 eV/atom

The structure in extended XYZ format:
```
24
Lattice="-0.2018 -0.4111 3.5167 11.4745 -7.5475 -0.2237 3.1957 13.2464 1.7320" Properties=species:S:1:pos:R:3 pbc="T T T"
Dy 7.4965 -2.9176 1.8774
Dy 6.9718 8.2054 3.1476
Dy 3.5910 6.8920 2.8000
Dy 10.8774 -1.6042 2.2250
Dy 12.1574 6.7306 3.2728
Dy 2.3110 -1.4428 1.7522
Dy 13.6567 2.9647 2.9186
Dy 0.8116 2.3231 2.1063
Dy 7.2342 2.6439 2.5125
Y 8.9135 5.3454 2.9247
Y 5.5549 -0.0577 2.1003
Y 10.3266 1.7960 2.5908
Y 4.1417 3.4918 2.4341
Hg 9.7708 8.0895 1.5065
Hg 4.8994 -2.3906 0.0017
Hg 12.7319 0.6521 0.8070
Hg 1.9383 5.0468 0.7012
Hg 8.4050 0.1621 0.5014
Hg 6.2652 5.5368 1.0069
Hg 9.9981 -3.8392 0.1250
Hg 4.6721 9.5381 1.3832
Hg 0.0000 0.0000 0.0000
Hg 11.4173 4.4353 1.1738
Hg 3.2529 1.2636 0.3344
```

***

No. 20
This record from Alexandria via LeMat-Bulk describes crystalline Dy3YHg at its relaxed geometry. The functional is PBE.

Values from the calculation:
Formation energy ... -0.1204 eV/atom

The structure in extended XYZ format:
```
10
Lattice="-2.6813 4.0155 -4.6332 -4.5101 -2.3980 4.3230 4.2572 3.4074 6.8022" Properties=species:S:1:pos:R:3 pbc="T T T"
Dy -5.4599 1.2347 1.5064
Dy -1.8715 0.4276 1.6612
Dy -1.0627 4.5972 4.8307
Dy -3.0747 3.1286 -0.1384
Dy 2.5257 3.7901 4.9855
Dy 0.1405 1.8963 6.6304
Y 1.0570 5.1111 2.1468
Y -3.9911 -0.0863 4.3451
Hg -3.2653 2.9153 3.1686
Hg 0.3311 2.1096 3.3234
```

***

Across the entries above, density of states at the Fermi level takes the values 23.177 9.345 8.072 5.497 3.798 8.157 5.204 4.679 7.621 11.505 4.039 9.597 3.845 4.888 4.245 7.299 9.971 5.714 24.199 5.145 states/eV/f.u., respectively.
Across the entries above, density takes the values 9.61 9.75 9.29 11.78 11.27 6.78 8.03 12.33 11.25 10.39 11.37 11.21 11.88 7.72 7.54 6.46 11.99 12.25 10.61 8.48 Mg/m³, respectively.